Below is an optimized crystal structure of Li3Ga4Ru2, with properties calculated at the PBE-GGA level.

Results
space-group type = C2/m, No. 12
calculated total energy = -39.453 eV per cell
formation energy = -0.3391 eV/atom

extended XYZ file:
```
9
Lattice="-0.843 -3.905 -1.481 2.661 -1.847 -2.776 4.165 -3.215 6.118" Properties=species:S:1:pos:R:3 pbc="T T T"
Ru 3.911 -4.468 3.434
Ga 4.018 -2.894 -0.782
Li 0.000 0.000 0.000
Ru 2.073 -4.498 -1.573
Ga 1.966 -6.072 2.643
Ga 4.901 -6.682 2.577
Ga 1.083 -2.285 -0.716
Li 2.464 -3.351 1.308
Li 3.520 -5.616 0.552
```

Below is an optimized crystal structure of Li4Ga3Ru, with properties calculated at the PBE-GGA level.

Results
space-group type = C2/m, No. 12
calculated total energy = -28.182 eV per cell
formation energy = -0.2713 eV/atom

extended XYZ file:
```
8
Lattice="3.093 0.000 0.000 0.000 4.244 0.612 -1.546 0.858 8.986" Properties=species:S:1:pos:R:3 pbc="T T T"
Ga 1.546 1.168 6.846
Ga 0.000 2.122 0.306
Li 0.000 1.479 4.722
Ru 1.546 0.000 0.000
Li 0.000 3.289 7.159
Li 1.546 1.812 2.439
Ga 0.000 3.934 2.752
Li 1.546 3.623 4.876
```

Below is an optimized crystal structure of Li3Ga3Ru2, with properties calculated at the PBE-GGA level.

Results
space-group type = Cmcm, No. 63
calculated total energy = -70.469 eV per cell
formation energy = -0.2326 eV/atom

extended XYZ file:
```
16
Lattice="2.834 0.000 0.000 -1.417 6.850 0.000 0.000 0.000 12.925" Properties=species:S:1:pos:R:3 pbc="T T T"
Li 0.000 6.052 7.872
Li 1.417 0.798 1.409
Li 1.417 0.798 5.053
Ga 1.417 5.360 0.839
Ru 1.417 3.661 11.802
Li 1.417 1.632 9.694
Ga 0.000 1.490 12.086
Ga 0.000 1.490 7.301
Ga 0.000 4.054 9.694
Ga 1.417 2.796 3.231
Li 0.000 6.052 11.516
Ru 1.417 3.661 7.585
Ru 0.000 3.189 1.123
Ru 0.000 3.189 5.340
Ga 1.417 5.360 5.624
Li 0.000 5.218 3.231
```